Record 1
The following is a PBE-GGA calculation of a geometry-optimized DyGaAsO structure, from the Open Quantum Materials Database.

Values from the calculation:
**Offset from the most stable computed form**: 242 meV per atom
**M_tot**: 0.02 μB/cell

```
DyGaAsO
1.0
4.0839 0.0000 0.0000
0.0000 6.7798 0.0000
0.0000 0.0000 5.9172
Dy Ga As O
2 2 2 2
Cartesian
0.0000 1.3453 0.0000
0.0000 5.4346 2.9586
2.0419 2.6801 3.6583
2.0419 4.0997 0.6997
0.0000 1.5065 2.8929
0.0000 5.2733 5.8515
2.0419 2.2413 5.7865
2.0419 4.5385 2.8279
```



Record 2
The following is a PBE-GGA calculation of a geometry-optimized ZrBeSiOs structure, from the Open Quantum Materials Database.

Values from the calculation:
**Offset from the most stable computed form**: 0 meV per atom
**M_tot**: 0.00 μB/cell

```
ZrBeSiOs
1.0
0.0000 3.0441 3.0441
3.0441 0.0000 3.0441
3.0441 3.0441 0.0000
Zr Be Si Os
1 1 1 1
Cartesian
0.0000 0.0000 0.0000
1.5220 1.5220 1.5220
4.5661 4.5661 4.5661
3.0441 3.0441 3.0441
```



Record 3
The following is a PBE-GGA calculation of a geometry-optimized HoCdW structure, from the Open Quantum Materials Database.

Values from the calculation:
**Calculated formation energy**: 3.35 eV per formula unit
**Offset from the most stable computed form**: 0 meV per atom
**M_tot**: 0.18 μB/cell

```
HoCdW
1.0
0.0000 3.3093 3.3093
3.3093 0.0000 3.3093
3.3093 3.3093 0.0000
Ho Cd W
1 1 1
Cartesian
0.0000 0.0000 0.0000
1.6547 1.6547 1.6547
3.3093 3.3093 3.3093
```



Record 4
The following is a PBE-GGA calculation of a geometry-optimized Dy2In8Pt structure, from the Open Quantum Materials Database.

Values from the calculation:
**M_tot**: 0.00 μB/cell
**Uncorrected energy**: -3.799 eV/atom

```
Dy2In8Pt
1.0
4.6871 0.0000 0.0000
0.0000 4.6871 0.0000
0.0000 0.0000 12.0646
Dy In Pt
2 8 1
Cartesian
0.0000 0.0000 2.2765
0.0000 0.0000 9.7881
0.0000 2.3436 0.0000
0.0000 2.3436 4.4964
0.0000 2.3436 7.5682
2.3436 0.0000 0.0000
2.3436 0.0000 4.4964
2.3436 0.0000 7.5682
2.3436 2.3436 2.2986
2.3436 2.3436 9.7660
0.0000 0.0000 6.0323
```



Record 5
The following is a PBE-GGA calculation of a geometry-optimized HfFeTcBi structure, from the Open Quantum Materials Database.

Values from the calculation:
**Offset from the most stable computed form**: 391 meV per atom
**M_tot**: 4.11 μB/cell

```
HfFeTcBi
1.0
0.0000 3.2968 3.2968
3.2968 0.0000 3.2968
3.2968 3.2968 0.0000
Hf Fe Tc Bi
1 1 1 1
Cartesian
0.0000 0.0000 0.0000
3.2968 3.2968 3.2968
4.9452 4.9452 4.9452
1.6484 1.6484 1.6484
```



Record 6
The following is a PBE-GGA calculation of a geometry-optimized TcSbNO structure, from the Open Quantum Materials Database.

Values from the calculation:
**Offset from the most stable computed form**: 25 meV per atom
**M_tot**: 0.03 μB/cell

```
TcSbNO
1.0
3.0385 0.0000 0.0000
0.0000 6.2485 0.0000
0.0000 0.0000 6.4624
Tc Sb N O
2 2 2 2
Cartesian
0.0000 0.5985 0.0000
0.0000 5.6500 3.2312
1.5193 1.8374 2.9619
1.5193 4.4111 6.1930
0.0000 0.7439 4.6596
0.0000 5.5046 1.4284
1.5193 1.7021 0.7782
1.5193 4.5464 4.0094
```